# 1
Here is a relaxed Sc2FeP crystal from the Alexandria database. Energies are from PBE.

* space-group type: P4/mmm, No. 123
* ΔE_f: -57.7 kJ per mole of atoms
* N(E_F): 0.54 states/eV per atom
* total magnetization: 0.98 μB/f.u.
* E_tot: -7.23 eV per atom

Lattice parameters (Å, degrees): 4.336 4.336 3.442 90.00 90.00 90.00
Fractional coordinates of all 4 atoms:
Sc (0.000, 0.500, 0.000)
Sc (0.500, 0.000, 0.000)
Fe (0.000, 0.000, 0.500)
P (0.500, 0.500, 0.500)

***

# 2
Here is a relaxed Ac3Nd4Dy2 crystal from the Alexandria database. Energies are from PBE.

* space-group type: C2/m, No. 12
* ΔE_f: 9.9 kJ per mole of atoms
* N(E_F): 1.85 states/eV per atom
* total magnetization: 0.00 μB/f.u.
* E_tot: -4.41 eV per atom

Lattice parameters (Å, degrees): 9.272 9.272 6.718 106.74 106.74 38.13
Fractional coordinates of all 9 atoms:
Ac (0.000, 0.000, 0.000)
Ac (0.120, 0.120, 0.576)
Ac (0.880, 0.880, 0.424)
Nd (0.246, 0.246, 0.149)
Nd (0.463, 0.463, 0.231)
Nd (0.537, 0.537, 0.769)
Nd (0.754, 0.754, 0.851)
Dy (0.335, 0.335, 0.720)
Dy (0.665, 0.665, 0.280)

***

# 3
Here is a relaxed Er2TmIn3Se6 crystal from the Alexandria database. Energies are from PBE.

* space-group type: C2/m, No. 12
* total magnetization: 0.00 μB/f.u.
* ΔE_f (raw): -1.293 eV per atom
* E_tot: -4.85 eV per atom

Lattice parameters (Å, degrees): 7.119 7.119 8.108 98.42 98.42 120.00
Fractional coordinates of all 12 atoms:
Er (0.167, 0.833, 0.000)
Er (0.833, 0.167, 0.000)
Tm (0.500, 0.500, 0.000)
In (0.000, 0.000, 0.500)
In (0.333, 0.667, 0.500)
In (0.667, 0.333, 0.500)
Se (0.099, 0.431, 0.794)
Se (0.237, 0.237, 0.206)
Se (0.431, 0.099, 0.794)
Se (0.569, 0.901, 0.206)
Se (0.763, 0.763, 0.794)
Se (0.901, 0.569, 0.206)

***

# 4
Here is a relaxed Cd2SiNi crystal from the Alexandria database. Energies are from PBE.

* space-group type: Cmmm, No. 65
* N(E_F): 0.49 states/eV per atom
* total magnetization: 0.00 μB/f.u.
* ΔE_f (raw): 0.291 eV per atom
* E_tot: -2.97 eV per atom

Lattice parameters (Å, degrees): 5.525 8.310 2.980 90.00 90.00 90.00
Fractional coordinates of all 8 atoms:
Cd (0.250, 0.250, 0.000)
Cd (0.250, 0.750, 0.000)
Cd (0.750, 0.250, 0.000)
Cd (0.750, 0.750, 0.000)
Si (0.000, 0.000, 0.500)
Si (0.500, 0.500, 0.500)
Ni (0.000, 0.500, 0.500)
Ni (0.500, 0.000, 0.500)

***

# 5
Here is a relaxed MgHgIr3 crystal from the Alexandria database. Energies are from PBE.

* space-group type: Pm-3m, No. 221
* ΔE_f: 149.6 kJ per mole of atoms
* N(E_F): 0.99 states/eV per atom
* total magnetization: 0.00 μB/f.u.
* relative energy among the computed polymorphs: 0 meV/atom
* E_tot: -4.15 eV per atom

Lattice parameters (Å, degrees): 4.545 4.545 4.545 90.00 90.00 90.00
Fractional coordinates of all 5 atoms:
Mg (0.000, 0.000, 0.000)
Hg (0.500, 0.500, 0.500)
Ir (0.000, 0.000, 0.500)
Ir (0.000, 0.500, 0.000)
Ir (0.500, 0.000, 0.000)

***

# 6
Here is a relaxed NbTe3Pt crystal from the Alexandria database. Energies are from PBE.

* space-group type: Pm-3m, No. 221
* N(E_F): 0.81 states/eV per atom
* total magnetization: 2.00 μB/f.u.
* ΔE_f (raw): 0.737 eV per atom
* relative energy among the computed polymorphs: 1067 meV/atom
* E_tot: -4.37 eV per atom

Lattice parameters (Å, degrees): 5.252 5.252 5.252 90.00 90.00 90.00
Fractional coordinates of all 5 atoms:
Nb (0.000, 0.000, 0.000)
Te (0.000, 0.500, 0.500)
Te (0.500, 0.000, 0.500)
Te (0.500, 0.500, 0.000)
Pt (0.500, 0.500, 0.500)

***

no.,calculated volume (Å³/atom)
1,16.2
2,37.7
3,28.4
4,17.1
5,18.8
6,29.0